VASP calculation (GGA+U) on a geometry-optimized Rb2BaCrF6 structure.

Unit cell a=6.481 b=9.046 c=7.051 alpha=90.00 beta=90.00 gamma=90.00
Space group Pmmn (No. 59, origin choice 2)
Inequivalent atoms, fractional coordinates:
Rb1 0.250 0.029 0.187 [4 per cell]
Ba1 0.250 0.250 0.698 [2 per cell]
Cr1 0.250 0.750 0.787 [2 per cell]
F1 0.007 0.250 0.413 [4 per cell]
F2 0.016 0.750 0.025 [4 per cell]
F3 0.250 0.527 0.788 [4 per cell]

## Properties
- DOS(E_F): 0.00 states/eV per cell
- Total energy: -5.2384 eV/atom